Record 1
DFT (GGA-PBEsol) results for BaTiIr2 after structural relaxation.

The structure belongs to space group Fm-3m (No. 225); the cell edges are 6.752, 6.752 and 6.752 Å and the angles 90.00°, 90.00° and 90.00°. The distinct sites, in fractional coordinates, are Ba at (0.000, 0.000, 0.000), Ti at (0.000, 0.000, 0.500) and Ir at (0.250, 0.250, 0.250).

The total energy is -7.12 eV/atom. The volume is 19.235 A^3/atom.

=====

Record 2
DFT (GGA-PBEsol) results for YCoW2 after structural relaxation.

The structure belongs to space group P4/mmm (No. 123); the cell edges are 3.733, 3.733 and 4.803 Å and the angles 90.00°, 90.00° and 90.00°. The distinct sites, in fractional coordinates, are Y at (0.000, 0.000, 0.000), Co at (0.500, 0.500, 0.000) and W at (0.000, 0.500, 0.500).

The total energy is -10.02 eV/atom. The volume is 16.728 A^3/atom.

=====

| no. | M_tot (μB per formula unit) |
| --- | --- |
| 1 | 0.00 |
| 2 | 0.00 |